# 1
The following is a DFT calculation (PBEsol) of a relaxed structure of V6O7F5.

Calculated values
Total magnetization   11.000 μB/f.u.
Crystal system   monoclinic
Symmetry   C2 (5)
ΔE to the lowest computed polymorph   10 meV per atom
DFT total energy   -8.29 eV per atom
Uncorrected formation energy   -45.0 eV/f.u.

POSCAR file:
```
V6O7F5
1.0
4.635 0.012 -0.014
0.217 4.630 -0.014
-0.039 -0.038 8.818
V F O
6 5 7
Cartesian
0.007 0.056 2.864
2.495 2.494 7.217
0.336 4.505 -0.014
2.211 2.222 1.573
4.756 4.600 5.926
2.401 2.308 4.395
3.327 1.379 -0.014
3.841 3.708 4.377
0.988 0.913 7.361
3.856 3.658 1.430
0.938 0.931 4.413
3.886 3.714 7.339
3.301 1.393 5.861
3.275 1.368 2.929
1.463 3.232 2.944
0.931 0.886 1.451
1.629 3.154 -0.014
1.519 3.285 5.846
```

---

# 2
The following is a DFT calculation (PBEsol) of a relaxed structure of NaMo2As2.

Calculated values
Total magnetization   0.000 μB/f.u.
Crystal system   tetragonal
Symmetry   I4/mmm (139)
DFT total energy   -7.22 eV per atom
Formation energy from the elements   -0.19 eV/atom

POSCAR file:
```
NaMo2As2
1.0
3.735 0.000 0.000
0.000 3.735 0.000
-1.868 -1.868 7.190
As Na Mo
2 1 2
Cartesian
1.868 1.868 1.801
0.000 0.000 5.389
0.000 0.000 0.000
1.868 0.000 3.595
0.000 1.868 3.595
```

---

# 3
The following is a DFT calculation (PBEsol) of a relaxed structure of InSI2N.

Calculated values
Total magnetization   0.000 μB/f.u.
Crystal system   tetragonal
Symmetry   P4/mmm (123)
DFT total energy   -3.43 eV per atom
Uncorrected formation energy   2.3 eV/f.u.

POSCAR file:
```
InSI2N
1.0
-0.049 3.203 -1.062
-6.115 -0.477 -1.156
-1.247 1.908 5.810
In N I S
1 1 2 1
Cartesian
-3.705 2.317 1.796
-0.025 1.602 -0.531
-0.623 0.954 2.905
-3.057 -0.238 -0.578
0.000 0.000 0.000
```

---

# 4
The following is a DFT calculation (PBEsol) of a relaxed structure of ZnCr2Fe.

Calculated values
Total magnetization   1.792 μB/f.u.
Crystal system   tetragonal
Symmetry   I4/mmm (139)
DFT total energy   -7.54 eV per atom
Formation energy from the elements   0.21 eV/atom

POSCAR file:
```
ZnCr2Fe
1.0
-0.126 2.976 1.666
-1.826 1.350 -2.548
-2.313 -3.288 2.202
Zn Cr Fe
1 2 1
Cartesian
0.000 0.000 0.000
-1.707 0.925 1.714
-2.557 0.112 -0.394
-0.976 2.163 -0.441
```

---

# 5
The following is a DFT calculation (PBEsol) of a relaxed structure of NaLi2Ag2.

Calculated values
Total magnetization   0.000 μB/f.u.
Crystal system   tetragonal
Symmetry   P4/mbm (127)
DFT total energy   -2.48 eV per atom
Formation energy from the elements   -0.08 eV/atom

POSCAR file:
```
NaLi2Ag2
1.0
2.981 0.000 0.000
0.000 7.837 0.000
0.000 0.000 7.837
Ag Na Li
4 2 4
Cartesian
0.000 1.021 2.897
0.000 6.816 4.940
0.000 4.940 1.021
0.000 2.898 6.816
0.000 3.919 3.919
0.000 7.837 7.837
1.491 2.661 1.258
1.491 6.580 2.661
1.491 5.176 6.580
1.491 1.258 5.176
```

---

# 6
The following is a DFT calculation (PBEsol) of a relaxed structure of YZn2FeMo.

Calculated values
Total magnetization   3.477 μB/f.u.
Crystal system   tetragonal
Symmetry   P4/mmm (123)
ΔE to the lowest computed polymorph   0 meV per atom
DFT total energy   -4.85 eV per atom
Formation energy from the elements   1.29 eV/atom

POSCAR file:
```
YZn2FeMo
1.0
4.826 0.000 0.000
0.000 4.826 0.000
0.000 0.000 4.920
Fe Zn Mo Y
1 2 1 1
Cartesian
2.413 2.413 2.460
0.000 2.413 0.000
2.413 0.000 0.000
0.000 0.000 0.000
0.000 0.000 2.460
```

---

# 7
The following is a DFT calculation (PBEsol) of a relaxed structure of YCoSe.

Calculated values
Total magnetization   1.507 μB/f.u.
Crystal system   orthorhombic
Symmetry   Fmm2 (42)
DFT total energy   -6.57 eV per atom
Uncorrected formation energy   -1.3 eV/f.u.

POSCAR file:
```
YCoSe
1.0
3.311 0.197 0.000
-0.214 3.310 0.000
-1.549 -1.754 4.886
Se Y Co
1 1 1
Cartesian
0.000 0.000 3.571
1.549 1.754 1.558
1.549 1.754 4.642
```

---

# 8
The following is a DFT calculation (PBEsol) of a relaxed structure of Sc2AlCu.

Calculated values
Total magnetization   0.000 μB/f.u.
Crystal system   tetragonal
Symmetry   P4/mmm (123)
DFT total energy   -5.78 eV per atom
Formation energy from the elements   -0.37 eV/atom

POSCAR file:
```
Sc2AlCu
1.0
-2.180 -0.419 2.316
0.831 -3.091 0.223
4.731 1.614 4.746
Sc Cu Al
2 1 1
Cartesian
3.462 1.181 3.473
1.269 0.433 1.273
1.691 -0.948 3.643
-0.675 -1.755 1.270
```